{
  "formula": "FeCuAgPt",
  "functional": "PBE-GGA",
  "state": "relaxed",
  "cell": [[0.000, 3.076, 3.076], [3.076, 0.000, 3.076], [3.076, 3.076, 0.000]],
  "species": ["Fe", "Cu", "Ag", "Pt"],
  "frac_coords": [[0.000, 0.000, 0.000], [0.500, 0.500, 0.500], [0.750, 0.750, 0.750], [0.250, 0.250, 0.250]],
  "total_magnetization_mub_per_fu": 3.45,
  "final_energy_ev_per_cell": -21.19,
  "ef_mev_per_atom": 66,
  "space_group": "F-43m (216)"
}